Compound: LiLa2Ge4Pd3
Source: Alexandria
Functional: GGA-PBE
Structure: relaxed

Properties
mass density	7.5	g cm⁻³
energy of formation	-792	meV/atom

abc: 4.379 4.379 10.349
angles: 90.00 90.00 90.00
Space group P-4m2 (No. 115)
Symmetry-distinct sites (fractional):
Li (0.000, 0.000, 0.000)
La (0.000, 0.500, 0.751)
Ge (0.000, 0.000, 0.500)
Ge (0.000, 0.500, 0.132)
Ge (0.500, 0.500, 0.500)
Pd (0.000, 0.500, 0.374)
Pd (0.500, 0.500, 0.000)

Compound: La4Ag3Pb
Source: Alexandria
Functional: GGA-PBE
Structure: relaxed

Properties
mass density	7.7	g cm⁻³
energy of formation	-340	meV/atom

abc: 5.483 5.483 15.542
angles: 90.00 90.00 90.00
Space group I4/mmm (No. 139)
Symmetry-distinct sites (fractional):
La (0.000, 0.500, 0.129)
Ag (0.000, 0.000, 0.000)
Ag (0.000, 0.000, 0.248)
Pb (0.000, 0.000, 0.500)